No. 1
LaSmEuTl | Alexandria via LeMat-Bulk | GGA-PBE | optimized geometry; formation energy = -0.101 eV/atom; N(E_F) = 5.91 states/eV/cell; VASP energy = -22.691 eV for the cell shown; space group = F-43m (216)
1.0
5.6705 0.0000 0.0000
2.8353 4.9108 0.0000
2.8353 1.6369 4.6299
Eu Tl Sm La
1 1 1 1
direct
0.5000 0.5000 0.5000
0.0000 0.0000 0.0000
0.2500 0.2500 0.2500
0.7500 0.7500 0.7500

***

No. 2
Ba2RhPb | Alexandria via LeMat-Bulk | GGA-PBE | optimized geometry; formation energy = -0.322 eV/atom; N(E_F) = 2.22 states/eV/cell; VASP energy = -16.193 eV for the cell shown; space group = Amm2 (38)
1.0
2.6757 -5.9808 0.0000
2.6757 5.9808 0.0000
0.0000 0.0000 4.4239
Ba Rh Pb
2 1 1
direct
0.9877 0.0123 0.0000
0.2847 0.7153 0.5000
0.5431 0.4569 0.5000
0.6801 0.3199 0.0000

***

No. 3
KHg3P | Alexandria via LeMat-Bulk | GGA-PBE | optimized geometry; formation energy = -0.141 eV/atom; N(E_F) = 3.00 states/eV/cell; VASP energy = -16.233 eV for the cell shown; space group = P2/m (10)
1.0
-1.4287 0.3788 -6.5639
-6.7018 -2.1863 1.3326
-1.0553 5.5130 3.7378
K Hg P
2 6 2
direct
0.0000 0.5000 0.5000
0.5000 0.0000 0.0000
0.1250 0.0000 0.3749
0.8750 0.0000 0.6251
0.5000 0.7259 0.5000
0.5000 0.2741 0.5000
0.0000 0.7264 0.0000
0.0000 0.2736 0.0000
0.4086 0.5000 0.0906
0.5914 0.5000 0.9094

***

Repeat the second record exactly.
Ba2RhPb | Alexandria via LeMat-Bulk | GGA-PBE | optimized geometry; formation energy = -0.322 eV/atom; N(E_F) = 2.22 states/eV/cell; VASP energy = -16.193 eV for the cell shown; space group = Amm2 (38)
1.0
2.6757 -5.9808 0.0000
2.6757 5.9808 0.0000
0.0000 0.0000 4.4239
Ba Rh Pb
2 1 1
direct
0.9877 0.0123 0.0000
0.2847 0.7153 0.5000
0.5431 0.4569 0.5000
0.6801 0.3199 0.0000

***

Q: The highest formation energy belongs to which entry?
A: LaSmEuTl

***

Q: Which formula does entry 1 have?
A: LaSmEuTl